This record from Alexandria describes crystalline SrMgSnWO6 at its relaxed geometry. The functional is PBE with a Hubbard U.

Geometry as CIF:
```
data_SrMgSnWO6
_chemical_formula_sum 'Sr4 Mg4 Sn4 W4 O24'
_space_group_name_H-M_alt 'F -4 3 m'
_space_group_IT_number 216
_space_group_name_Hall 'F -4 2 3'
_cell_length_a 8.028
_cell_length_b 8.028
_cell_length_c 8.028
_cell_angle_alpha 90.00
_cell_angle_beta 90.00
_cell_angle_gamma 90.00
loop_
_atom_site_label
_atom_site_type_symbol
_atom_site_fract_x
_atom_site_fract_y
_atom_site_fract_z
Sr1 Sr 0.000 0.000 0.000
Mg1 Mg 0.250 0.250 0.250
Sn1 Sn 0.000 0.000 0.500
W1 W 0.250 0.250 0.750
O1 O 0.007 0.250 0.750
```

DOS at the Fermi energy ... 0.00 states/eV/cell
Total DFT energy (no corrections) ... -6.644 eV/atom